The following is a DFT calculation (PBE) of a geometry-optimized YSb2Au structure.

```
4
Lattice="6.494 -0.799 -0.482 5.304 3.832 -0.482 5.304 1.363 3.613" Properties=species:S:1:pos:R:3 pbc="T T T"
Au 12.357 3.176 1.915
Sb 0.985 0.253 0.153
Sb 3.929 1.010 0.609
Y 8.381 2.154 1.299
```

Computed properties:
formation energy from raw total energies: -425 meV/atom
space-group type: R3m, No. 160


The following is a DFT calculation (PBE) of a geometry-optimized Hf2HgHF structure.

```
5
Lattice="-5.437 0.395 0.797 -0.525 -0.683 -3.241 -0.219 -5.379 1.170" Properties=species:S:1:pos:R:3 pbc="T T T"
H -0.262 -0.342 -1.621
Hf -0.109 -2.689 0.585
Hf -2.718 0.197 0.398
Hg 0.000 0.000 0.000
F -3.090 -2.834 -0.637
```

Computed properties:
E: -22.5 eV/cell
space-group type: P4/mmm, No. 123


The following is a DFT calculation (PBE) of a geometry-optimized LaCo2HSe structure.

```
5
Lattice="-1.276 4.060 0.532 -4.198 -1.809 3.735 2.732 0.429 3.278" Properties=species:S:1:pos:R:3 pbc="T T T"
H -1.371 1.340 3.773
Co 1.366 0.215 1.639
Co -0.638 2.030 0.266
Se 0.000 0.000 0.000
La -2.099 -0.904 1.867
```

Computed properties:
E: -24.3 eV/cell
space-group type: P4/mmm, No. 123


The following is a DFT calculation (PBE) of a geometry-optimized SrBePt3 structure.

```
20
Lattice="21.618 0.000 7.056 0.000 4.748 0.000 -6.613 0.000 1.530" Properties=species:S:1:pos:R:3 pbc="T T T"
Sr -2.056 0.000 2.205
Sr 17.061 4.747 6.381
Sr 2.945 2.374 3.618
Sr 12.059 2.374 4.968
Pt 0.529 4.747 3.735
Pt 14.476 0.000 4.852
Pt 0.360 2.374 2.089
Pt 14.645 2.374 6.497
Pt 6.101 2.374 3.135
Pt 8.904 2.374 5.451
Pt 1.402 4.747 1.158
Pt 13.603 0.000 7.428
Pt 5.233 4.748 4.234
Pt 9.772 0.000 4.352
Pt -4.344 2.374 1.589
Pt 19.349 2.374 6.997
Be 7.502 3.687 4.293
Be 7.503 1.060 4.293
Be 15.005 1.314 8.586
Be 0.000 3.434 0.000
```

Computed properties:
excess energy over the best structure of this formula in the dataset: 45 meV per atom
E_form: -3.50 eV per formula unit
space-group type: C2/m, No. 12


The following is a DFT calculation (PBE) of a geometry-optimized Zn2TcNiB structure.

```
5
Lattice="4.356 0.000 0.000 0.000 4.498 0.000 0.000 0.000 4.356" Properties=species:S:1:pos:R:3 pbc="T T T"
Ni 0.000 0.000 0.000
Zn 0.000 0.000 2.178
Zn 2.178 0.000 0.000
B 2.178 2.249 2.178
Tc 0.000 2.249 0.000
```

Computed properties:
E_form: 7.28 eV per formula unit
space-group type: P4/mmm, No. 123


The following is a DFT calculation (PBE) of a geometry-optimized SrTa2SiRu structure.

```
5
Lattice="-3.976 -1.287 2.318 -1.935 -2.450 -4.679 2.080 -4.105 1.289" Properties=species:S:1:pos:R:3 pbc="T T T"
Ru 0.000 0.000 0.000
Si -1.915 -3.921 -0.536
Sr -0.967 -1.225 -2.339
Ta 1.040 -2.052 0.644
Ta -1.988 -0.644 1.159
```

Computed properties:
formation energy from raw total energies: 1081 meV/atom
space-group type: P4/mmm, No. 123


no.,total magnetic moment (μB per cell)
1,0.000
2,0.000
3,2.012
4,0.000
5,1.399
6,0.000